Compound: CaIn3Rh
Source: Alexandria
Functional: PBE
Structure: relaxed

Cell: 4.4260 9.1886 11.7221 Å, 90.00 90.00 90.00°
Fractional coordinates of all 20 atoms:
Ca: 0.7500 0.7998 0.0017
Ca: 0.2500 0.7002 0.5017
Ca: 0.7500 0.2998 0.4983
Ca: 0.2500 0.2002 0.9983
In: 0.2500 0.5539 0.0845
In: 0.7500 0.4461 0.9155
In: 0.2500 0.0539 0.4155
In: 0.7500 0.9461 0.5845
In: 0.2500 0.4043 0.7017
In: 0.7500 0.0957 0.2017
In: 0.2500 0.9043 0.7983
In: 0.7500 0.6558 0.7122
In: 0.2500 0.3442 0.2878
In: 0.7500 0.1558 0.7878
In: 0.7500 0.5957 0.2983
In: 0.2500 0.8442 0.2122
Rh: 0.2500 0.1225 0.6436
Rh: 0.2500 0.6225 0.8564
Rh: 0.7500 0.3775 0.1436
Rh: 0.7500 0.8775 0.3564

Properties
Energy above the most stable polymorph in this dataset ... 0.0 meV per atom
Energy relative to the elements ... -0.436 eV per atom
Crystal system ... orthorhombic
Total DFT energy (no corrections) ... -78.997 eV/cell
Space-group type ... Pnma, No. 62

---

Compound: Nd2ScHg8
Source: Alexandria
Functional: PBE
Structure: relaxed

Cell: 5.1500 7.3478 8.5704 Å, 115.37 107.48 90.00°
Fractional coordinates of all 11 atoms:
Nd: 0.1973 0.6972 0.3946
Nd: 0.8027 0.3028 0.6054
Sc: 0.5000 0.0000 0.0000
Hg: 0.6345 0.8475 0.2690
Hg: 0.3656 0.5785 0.7312
Hg: 0.1585 0.1585 0.3170
Hg: 0.0000 0.2797 0.0000
Hg: 0.8415 0.8415 0.6830
Hg: 0.6344 0.4215 0.2688
Hg: 0.3655 0.1525 0.7310
Hg: 0.0000 0.7203 0.0000

Properties
Energy relative to the elements ... -0.301 eV per atom
Crystal system ... orthorhombic
Total DFT energy (no corrections) ... -21.590 eV/cell
Space-group type ... Immm, No. 71

---

Compound: TlVPb3
Source: Alexandria
Functional: PBE
Structure: relaxed

Cell: 5.7872 5.7872 5.7872 Å, 90.00 90.00 90.00°
Fractional coordinates of all 5 atoms:
Pb: 0.0000 0.5000 0.0000
Pb: 0.0000 0.0000 0.5000
Pb: 0.5000 0.0000 0.0000
Tl: 0.0000 0.0000 0.0000
V: 0.5000 0.5000 0.5000

Properties
Energy above the most stable polymorph in this dataset ... 884.4 meV per atom
Energy relative to the elements ... 1.153 eV per atom
Crystal system ... cubic
Total DFT energy (no corrections) ... -16.847 eV/cell
Space-group type ... Pm-3m, No. 221

---

Compound: PmEr3Rh
Source: Alexandria
Functional: PBE
Structure: relaxed

Cell: 5.3760 5.3760 5.3760 Å, 90.00 90.00 90.00°
Fractional coordinates of all 5 atoms:
Pm: 0.5000 0.5000 0.5000
Rh: 0.0000 0.0000 0.0000
Er: 0.0000 0.5000 0.0000
Er: 0.0000 0.0000 0.5000
Er: 0.5000 0.0000 0.0000

Properties
Energy relative to the elements ... -0.271 eV per atom
Crystal system ... cubic
Total DFT energy (no corrections) ... -27.145 eV/cell
Space-group type ... Pm-3m, No. 221

---

Compound: FeSiRh2
Source: Alexandria
Functional: PBE
Structure: relaxed

Cell: 8.1632 8.1632 8.1632 Å, 19.65 19.65 19.65°
Fractional coordinates of all 4 atoms:
Fe: 0.2500 0.2500 0.2500
Rh: 0.0062 0.0062 0.0062
Rh: 0.4938 0.4938 0.4938
Si: 0.7500 0.7500 0.7500

Properties
Crystal system ... trigonal
ΔE_f (raw) ... -1.188 eV/f.u.
Total DFT energy (no corrections) ... -29.777 eV/cell
Space-group type ... R-3m, No. 166

---

Compound: MgAuS2
Source: Alexandria
Functional: PBE
Structure: relaxed

Cell: 7.6273 7.6273 7.6273 Å, 28.65 28.65 28.65°
Fractional coordinates of all 4 atoms:
S: 0.8967 0.8967 0.8967
S: 0.1033 0.1033 0.1033
Au: 0.0000 0.0000 0.0000
Mg: 0.5000 0.5000 0.5000

Properties
Crystal system ... trigonal
ΔE_f (raw) ... -2.100 eV/f.u.
Total DFT energy (no corrections) ... -15.227 eV/cell
Space-group type ... R-3m, No. 166

---

Compound: Y12InNi5
Source: Alexandria
Functional: PBE
Structure: relaxed

Cell: 8.3681 8.3681 8.3681 Å, 107.12 111.42 109.90°
Fractional coordinates of all 18 atoms:
Y: 0.5227 0.8171 0.7056
Y: 0.4773 0.1829 0.2944
Y: 0.8885 0.1829 0.7056
Y: 0.1115 0.8171 0.2944
Y: 0.6954 0.6775 0.3730
Y: 0.3046 0.3225 0.6270
Y: 0.3046 0.6775 0.9821
Y: 0.6954 0.3225 0.0179
Y: 0.8093 0.5964 0.7871
Y: 0.1907 0.4036 0.2129
Y: 0.1907 0.9778 0.7871
Y: 0.8093 0.0222 0.2129
In: 0.0000 0.5000 0.5000
Ni: 0.6343 0.6343 0.0000
Ni: 0.3657 0.3657 0.0000
Ni: 0.5000 0.1225 0.6225
Ni: 0.5000 0.8775 0.3775
Ni: 0.0000 0.0000 0.0000

Properties
Energy relative to the elements ... -0.337 eV per atom
Crystal system ... orthorhombic
Total DFT energy (no corrections) ... -115.285 eV/cell
Space-group type ... Immm, No. 71

---

Compound: Nd4GeRh3
Source: Alexandria
Functional: PBE
Structure: relaxed

Cell: 4.0828 4.2598 10.9368 Å, 90.00 90.00 90.00°
Fractional coordinates of all 8 atoms:
Rh: 0.0000 0.5000 0.5846
Rh: 0.0000 0.0000 0.4126
Rh: 0.5000 0.0000 0.9266
Ge: 0.5000 0.5000 0.0718
Nd: 0.5000 0.5000 0.3648
Nd: 0.0000 0.5000 0.8551
Nd: 0.0000 0.0000 0.1436
Nd: 0.5000 0.0000 0.6409

Properties
Energy relative to the elements ... -0.726 eV per atom
Crystal system ... orthorhombic
Total DFT energy (no corrections) ... -51.554 eV/cell
Space-group type ... Pmm2, No. 25

---

Compound: CrFe2MoPb
Source: Alexandria
Functional: PBE
Structure: relaxed

Cell: 4.5812 4.6771 4.5812 Å, 90.00 90.00 90.00°
Fractional coordinates of all 5 atoms:
Pb: 0.5000 0.5000 0.5000
Cr: 0.0000 0.5000 0.0000
Mo: 0.0000 0.0000 0.0000
Fe: 0.0000 0.0000 0.5000
Fe: 0.5000 0.0000 0.0000

Properties
Energy relative to the elements ... 1.277 eV per atom
Crystal system ... tetragonal
Total DFT energy (no corrections) ... -34.701 eV/cell
Space-group type ... P4/mmm, No. 123

---

no.,total magnetization (μB/f.u.)
1,0.00
2,0.00
3,4.11
4,0.00
5,2.91
6,0.00
7,0.00
8,0.00
9,6.18